Record 1
## Er6MnSi2S14 (PBEsol)

Data for an optimized crystal structure of Er6MnSi2S14.

Cell and atoms, written as CIF:
```
data_Er6MnSi2S14
_chemical_formula_sum 'Er6 Mn1 Si2 S14'
_cell_length_a 9.6393
_cell_length_b 9.6393
_cell_length_c 5.5535
_cell_angle_alpha 90.00
_cell_angle_beta 90.00
_cell_angle_gamma 120.00
_symmetry_space_group_name_H-M 'P 3'
_symmetry_Int_Tables_number 143
_symmetry_space_group_name_Hall 'P 3'
loop_
_atom_site_label
_atom_site_fract_x
_atom_site_fract_y
_atom_site_fract_z
Er1 0.0248 0.4635 0.0000
Er2 0.3093 0.2030 0.5043
Mn1 0.6667 0.3333 0.2297
Si1 0.0000 0.0000 0.0903
Si2 0.3333 0.6667 0.5838
S1 0.0000 0.0000 0.7126
S2 0.0846 0.2322 0.2425
S3 0.1856 0.7509 0.7373
S4 0.3333 0.6667 0.2067
S5 0.4150 0.2415 0.9826
S6 0.5091 0.0818 0.4680
```

Computed properties:
Raw formation energy   -1.630 eV per atom
Density   5.810 g/cm3
Total moment   5.000 μB/cell
DFT total energy   -149.7 eV per cell

---

Record 2
## CaY3 (PBEsol)

Data for an optimized crystal structure of CaY3.

Cell and atoms, written as CIF:
```
data_CaY3
_chemical_formula_sum 'Ca3 Y9'
_cell_length_a 3.5562
_cell_length_b 3.5562
_cell_length_c 35.6755
_cell_angle_alpha 90.00
_cell_angle_beta 90.00
_cell_angle_gamma 120.00
_symmetry_space_group_name_H-M 'R -3 m'
_symmetry_Int_Tables_number 166
_symmetry_space_group_name_Hall '-R 3 2"'
loop_
_atom_site_label
_atom_site_fract_x
_atom_site_fract_y
_atom_site_fract_z
Ca1 0.0000 0.0000 0.0000
Y1 0.0000 0.0000 0.2453
Y2 0.0000 0.0000 0.5000
```

Computed properties:
Energy of formation from the pure elements   0.0661 eV per atom
Density   3.911 g/cm3
Total moment   0.003 μB/cell
DFT total energy   -67.0 eV per cell

---

Record 3
## SmMg2Bi2 (PBEsol)

Data for an optimized crystal structure of SmMg2Bi2.

Cell and atoms, written as CIF:
```
data_SmMg2Bi2
_chemical_formula_sum 'Sm1 Mg2 Bi2'
_cell_length_a 4.7894
_cell_length_b 4.7894
_cell_length_c 7.3242
_cell_angle_alpha 90.00
_cell_angle_beta 90.00
_cell_angle_gamma 120.00
_symmetry_space_group_name_H-M 'P -3 m 1'
_symmetry_Int_Tables_number 164
_symmetry_space_group_name_Hall '-P 3 2"'
loop_
_atom_site_label
_atom_site_fract_x
_atom_site_fract_y
_atom_site_fract_z
Sm1 0.0000 0.0000 0.0000
Mg1 0.3333 0.6667 0.6446
Bi1 0.3333 0.6667 0.2394
```

Computed properties:
Energy of formation from the pure elements   -0.4332 eV per atom
Density   7.041 g/cm3
Total moment   0.000 μB/cell
DFT total energy   -19.3 eV per cell

---

> The lowest DFT total energy belongs to which entry?

Er6MnSi2S14